[1]
An optimized crystal structure of CeBiPdO6. Source: Alexandria, functional GGA-PBE.

Formation energy from raw total energies = -34.05 kcal/mol of atoms

a = 5.0561 Å, b = 5.0561 Å, c = 10.1095 Å
α = 90.00°, β = 90.00°, γ = 90.00°
Positions (direct):
Ce1 0.0000 0.0000 0.0000
Ce2 0.5000 0.5000 0.5000
Bi1 0.0000 0.0000 0.3321
Bi2 0.5000 0.5000 0.8321
Pd1 0.0000 0.0000 0.6665
Pd2 0.5000 0.5000 0.1665
O1 0.1838 0.1838 0.5141
O2 0.1844 0.1844 0.8226
O3 0.2133 0.2133 0.1663
O4 0.2867 0.7133 0.6663
O5 0.3162 0.6838 0.0141
O6 0.3156 0.6844 0.3226
O7 0.6838 0.3162 0.0141
O8 0.6844 0.3156 0.3226
O9 0.7133 0.2867 0.6663
O10 0.7867 0.7867 0.1663
O11 0.8162 0.8162 0.5141
O12 0.8156 0.8156 0.8226


[2]
An optimized crystal structure of Li4Mg3Ge4. Source: Alexandria, functional GGA-PBE.

Formation energy = -158.4 meV/atom
Offset from the most stable computed form = 0.049 eV/atom

a = 7.8104 Å, b = 7.8104 Å, c = 7.8104 Å
α = 149.26°, β = 122.32°, γ = 66.79°
Positions (direct):
Li1 0.0088 0.8220 0.1868
Li2 0.3648 0.1780 0.1868
Li3 0.6352 0.8220 0.8132
Li4 0.9912 0.1780 0.8132
Mg1 0.0000 0.5000 0.5000
Mg2 0.3741 0.3741 0.0000
Mg3 0.6259 0.6259 0.0000
Ge1 0.2264 0.7264 0.5000
Ge2 0.3305 0.0000 0.3305
Ge3 0.6695 0.0000 0.6695
Ge4 0.7736 0.2736 0.5000


Listing calculated volume for the structures above in their given order: 258.4, 203.5 Å³ per cell.
Listing energy for the structures above in their given order: -116.09, -32.65 eV/cell.